Tb8Pr3Y3 | PBE | optimized geometry

Results
* space-group type: No. 71
* formation energy: 0.104 eV per atom

Lattice parameters (Å, degrees): 5.701 9.744 9.744 101.55 72.99 72.99
Fractional coordinates of all 14 atoms:
Tb 0.660 0.118 0.561
Tb 0.340 0.882 0.439
Tb 0.660 0.561 0.118
Tb 0.340 0.439 0.882
Tb 0.842 0.761 0.556
Tb 0.158 0.239 0.444
Tb 0.842 0.556 0.761
Tb 0.158 0.444 0.239
Pr 0.500 0.000 0.000
Pr 0.000 0.816 0.184
Pr 0.000 0.184 0.816
Y 0.500 0.500 0.500
Y 0.798 0.203 0.203
Y 0.202 0.797 0.797

---

YZrTe | PBE | optimized geometry

Results
* uncorrected formation energy: -0.346 eV per atom
* space-group type: No. 187

Lattice parameters (Å, degrees): 4.965 4.965 3.790 90.00 90.00 120.00
Fractional coordinates of all 3 atoms:
Te 0.000 0.000 0.833
Y 0.667 0.333 0.334
Zr 0.333 0.667 0.833

---

ThFeGe3Os | PBE | optimized geometry

Results
* space-group type: No. 63
* formation energy: -0.098 eV per atom

Lattice parameters (Å, degrees): 6.177 6.179 7.009 116.15 90.00 90.00
Last column: magnetic moment on the atom in μB.
Fractional coordinates of all 12 atoms:
Th 0.750 0.198 0.396  -0.02
Th 0.250 0.802 0.604  -0.02
Fe 0.250 0.019 0.038  0.88
Fe 0.750 0.981 0.962  0.88
Ge 0.250 0.198 0.396  0.00
Ge 0.000 0.287 0.000  -0.01
Ge 0.500 0.713 0.000  -0.01
Ge 0.500 0.287 0.000  -0.01
Ge 0.000 0.713 0.000  -0.01
Ge 0.750 0.802 0.604  0.00
Os 0.250 0.383 0.765  -0.01
Os 0.750 0.617 0.235  -0.01

---

SrIn2Rh | PBE | optimized geometry

Results
* space-group type: No. 160
* formation energy: -0.414 eV per atom

Lattice parameters (Å, degrees): 4.684 4.684 6.238 67.97 67.97 59.96
Fractional coordinates of all 4 atoms:
Sr 0.755 0.755 0.734
Rh 0.571 0.571 0.286
In 0.961 0.961 0.116
In 0.212 0.212 0.364

---

TiSnS | PBE | optimized geometry

Results
* uncorrected formation energy: -0.829 eV per atom
* space-group type: No. 59

Lattice parameters (Å, degrees): 3.344 4.621 8.069 90.00 90.00 90.00
Fractional coordinates of all 6 atoms:
Ti 0.500 0.000 0.582
Ti 0.000 0.500 0.418
S 0.000 0.000 0.365
S 0.500 0.500 0.635
Sn 0.500 0.500 0.094
Sn 0.000 0.000 0.906

---

Ce6AuC3 | PBE | optimized geometry

Results
* space-group type: No. 11
* formation energy: -0.198 eV per atom

Lattice parameters (Å, degrees): 3.536 11.280 11.108 109.85 90.00 90.00
Last column: magnetic moment on the atom in μB.
Fractional coordinates of all 20 atoms:
Ce 0.750 0.519 0.637  0.06
Ce 0.250 0.481 0.363  0.06
Ce 0.750 0.930 0.095  0.21
Ce 0.250 0.070 0.905  0.21
Ce 0.750 0.380 0.048  0.47
Ce 0.250 0.620 0.952  0.47
Ce 0.750 0.692 0.257  0.38
Ce 0.250 0.308 0.743  0.38
Ce 0.750 0.187 0.457  0.07
Ce 0.250 0.813 0.543  0.07
Ce 0.750 0.781 0.760  0.04
Ce 0.250 0.219 0.240  0.04
Au 0.750 0.055 0.668  0.00
Au 0.250 0.945 0.332  0.00
C 0.750 0.459 0.853  -0.02
C 0.250 0.541 0.147  -0.02
C 0.750 0.648 0.462  -0.01
C 0.250 0.352 0.538  -0.01
C 0.750 0.144 0.069  -0.01
C 0.250 0.856 0.931  -0.01